# PBE Hf2Al2Ga3, relaxed
# Density of states at the Fermi level (states/eV/f.u.): 2.7
# Space group: C2/m
# Energy relative to the elements (eV per formula unit): -1.8
# Uncorrected energy (eV per atom): -5.47
# E above lowest polymorph (meV/atom): 0
data_Hf2Al2Ga3
_space_group_name_H-M_alt 'P 1'
_space_group_IT_number 1
_cell_length_a 3.888
_cell_length_b 5.450
_cell_length_c 7.365
_cell_angle_alpha 59.36
_cell_angle_beta 74.70
_cell_angle_gamma 69.10
loop_
_space_group_symop_operation_xyz
'x,y,z'
loop_
_atom_site_label
_atom_site_fract_x
_atom_site_fract_y
_atom_site_fract_z
Hf1 0.113 0.545 0.228
Hf2 0.887 0.455 0.772
Al1 0.175 0.876 0.774
Al2 0.825 0.124 0.226
Ga1 0.500 0.000 0.000
Ga2 0.392 0.780 0.437
Ga3 0.608 0.220 0.563

=====

# PBE Ba2LiSb3Pt4, relaxed
# Density of states at the Fermi level (states/eV/f.u.): 4.1
# Space group: P-4m2
# ΔE_f (raw) (eV per atom): -0.822
# Uncorrected energy (eV per atom): -5.05
data_Ba2LiSb3Pt4
_space_group_name_H-M_alt 'P 1'
_space_group_IT_number 1
_cell_length_a 4.718
_cell_length_b 4.718
_cell_length_c 10.713
_cell_angle_alpha 90.00
_cell_angle_beta 90.00
_cell_angle_gamma 90.00
loop_
_space_group_symop_operation_xyz
'x,y,z'
loop_
_atom_site_label
_atom_site_fract_x
_atom_site_fract_y
_atom_site_fract_z
Ba1 0.500 0.000 0.251
Ba2 0.000 0.500 0.749
Li1 0.500 0.500 0.500
Sb1 0.000 0.000 0.500
Sb2 0.500 0.000 0.873
Sb3 0.000 0.500 0.127
Pt1 0.500 0.500 0.000
Pt2 0.000 0.000 0.000
Pt3 0.500 0.000 0.622
Pt4 0.000 0.500 0.378

=====

# PBE Mg2PIr, relaxed
# Density of states at the Fermi level (states/eV/f.u.): 1.8
# Space group: P4/mmm
# Energy relative to the elements (eV per formula unit): -1.0
# Uncorrected energy (eV per atom): -4.60
data_Mg2PIr
_space_group_name_H-M_alt 'P 1'
_space_group_IT_number 1
_cell_length_a 2.958
_cell_length_b 2.958
_cell_length_c 7.431
_cell_angle_alpha 90.00
_cell_angle_beta 90.00
_cell_angle_gamma 90.00
loop_
_space_group_symop_operation_xyz
'x,y,z'
loop_
_atom_site_label
_atom_site_fract_x
_atom_site_fract_y
_atom_site_fract_z
Ir1 0.500 0.500 0.750
Mg1 0.000 0.000 0.987
Mg2 0.000 0.000 0.513
P1 0.500 0.500 0.250

=====

# PBE KSr2Co, relaxed
# Density of states at the Fermi level (states/eV/f.u.): 3.4
# Space group: Immm
# Energy relative to the elements (eV per formula unit): 2.0
# Uncorrected energy (eV per atom): -2.38
# E above lowest polymorph (meV/atom): 153
data_KSr2Co
_space_group_name_H-M_alt 'P 1'
_space_group_IT_number 1
_cell_length_a 7.338
_cell_length_b 7.338
_cell_length_c 7.338
_cell_angle_alpha 147.32
_cell_angle_beta 125.62
_cell_angle_gamma 64.91
loop_
_space_group_symop_operation_xyz
'x,y,z'
loop_
_atom_site_label
_atom_site_fract_x
_atom_site_fract_y
_atom_site_fract_z
Co1 0.750 0.250 0.500
K1 0.250 0.750 0.500
Sr1 0.924 0.924 0.000
Sr2 0.576 0.576 0.000

=====

# PBE BeRuBr2, relaxed
# Density of states at the Fermi level (states/eV/f.u.): 0.2
# Space group: Pm
# ΔE_f (raw) (eV per atom): 0.103
# Uncorrected energy (eV per atom): -3.98
# E above lowest polymorph (meV/atom): 106
data_BeRuBr2
_space_group_name_H-M_alt 'P 1'
_space_group_IT_number 1
_cell_length_a 3.369
_cell_length_b 3.446
_cell_length_c 7.573
_cell_angle_alpha 90.27
_cell_angle_beta 90.00
_cell_angle_gamma 90.00
loop_
_space_group_symop_operation_xyz
'x,y,z'
loop_
_atom_site_label
_atom_site_fract_x
_atom_site_fract_y
_atom_site_fract_z
Ru1 0.000 0.375 0.613
Br1 0.000 0.878 0.883
Br2 0.500 0.372 0.352
Be1 0.500 0.875 0.652

=====

# PBE Ca4Ag3Sn, relaxed
# Density of states at the Fermi level (states/eV/f.u.): 4.4
# Space group: R-3m
# Energy relative to the elements (eV per formula unit): -3.4
# Uncorrected energy (eV per atom): -3.00
# E above lowest polymorph (meV/atom): 0
data_Ca4Ag3Sn
_space_group_name_H-M_alt 'P 1'
_space_group_IT_number 1
_cell_length_a 5.277
_cell_length_b 5.277
_cell_length_c 9.225
_cell_angle_alpha 73.38
_cell_angle_beta 73.38
_cell_angle_gamma 60.00
loop_
_space_group_symop_operation_xyz
'x,y,z'
loop_
_atom_site_label
_atom_site_fract_x
_atom_site_fract_y
_atom_site_fract_z
Ca1 0.874 0.874 0.378
Ca2 0.377 0.377 0.870
Ca3 0.126 0.126 0.622
Ca4 0.623 0.623 0.130
Sn1 0.000 0.000 0.000
Ag1 0.249 0.249 0.253
Ag2 0.751 0.751 0.747
Ag3 0.500 0.500 0.500

=====

# PBE Np2B2AsRu5, relaxed
# Density of states at the Fermi level (states/eV/f.u.): 15.7
# Space group: P4/mbm
# Energy relative to the elements (eV per formula unit): -3.2
# Uncorrected energy (eV per atom): -9.35
data_Np2B2AsRu5
_space_group_name_H-M_alt 'P 1'
_space_group_IT_number 1
_cell_length_a 3.099
_cell_length_b 9.587
_cell_length_c 9.587
_cell_angle_alpha 90.00
_cell_angle_beta 90.00
_cell_angle_gamma 90.00
loop_
_space_group_symop_operation_xyz
'x,y,z'
loop_
_atom_site_label
_atom_site_fract_x
_atom_site_fract_y
_atom_site_fract_z
Np1 0.000 0.676 0.176
Np2 0.000 0.324 0.824
Np3 0.000 0.176 0.324
Np4 0.000 0.824 0.676
B1 0.000 0.122 0.622
B2 0.000 0.878 0.378
B3 0.000 0.622 0.878
B4 0.000 0.378 0.122
As1 0.000 0.000 0.000
As2 0.000 0.500 0.500
Ru1 0.500 0.216 0.069
Ru2 0.500 0.784 0.931
Ru3 0.500 0.069 0.784
Ru4 0.500 0.716 0.431
Ru5 0.500 0.931 0.216
Ru6 0.500 0.284 0.569
Ru7 0.500 0.569 0.716
Ru8 0.500 0.431 0.284
Ru9 0.500 0.500 0.000
Ru10 0.500 0.000 0.500

=====

# PBE Dy2ZrO, relaxed
# Density of states at the Fermi level (states/eV/f.u.): 2.8
# Space group: R-3m
# ΔE_f (raw) (eV per atom): -1.073
# Uncorrected energy (eV per atom): -6.75
# E above lowest polymorph (meV/atom): 0
data_Dy2ZrO
_space_group_name_H-M_alt 'P 1'
_space_group_IT_number 1
_cell_length_a 3.339
_cell_length_b 3.339
_cell_length_c 9.283
_cell_angle_alpha 79.64
_cell_angle_beta 79.64
_cell_angle_gamma 60.00
loop_
_space_group_symop_operation_xyz
'x,y,z'
loop_
_atom_site_label
_atom_site_fract_x
_atom_site_fract_y
_atom_site_fract_z
O1 0.500 0.500 0.500
Zr1 0.000 0.000 0.000
Dy1 0.116 0.116 0.653
Dy2 0.884 0.884 0.347